This record from Alexandria describes BaRe2Br after structural relaxation. The functional is PBE.

- Formation energy from raw total energies: 27.75 kJ per mole of atoms

a b c (Å): 7.503 3.709 8.327
angles (deg): 90.00 110.53 90.00
Space group Cm (No. 8)
Asymmetric unit:
Ba: 0.000 0.000 0.000 (multiplicity 2)
Re: 0.034 0.500 0.397 (multiplicity 2)
Re: 0.314 0.500 0.295 (multiplicity 2)
Br: 0.188 0.000 0.690 (multiplicity 2)